# SrCu2N4

Crystalline SrCu2N4 at its relaxed geometry (PBE-GGA, Alexandria via LeMat-Bulk).

Properties
- density of states at the Fermi level (states/eV/f.u.) = 2.58
- energy relative to the elements, uncorrected (meV per atom) = 120
- crystal system = triclinic
- symmetry = No. 2

The structure in POSCAR format:
```
SrCu2N4
1.0
4.2011 0.0000 0.0000
0.0139 4.6343 0.0000
2.0934 0.1089 6.1530
Sr Cu N
1 2 4
Direct
0.0000 0.0000 0.0000
0.4036 0.4954 0.1960
0.5964 0.5046 0.8040
0.3549 0.8638 0.2939
0.3565 0.1222 0.2933
0.6435 0.8778 0.7067
0.6451 0.1362 0.7061
```